Record 1
Material: GdAlB4
Method: DFT, PBE
State: optimized geometry

For the final energy, the calculation gives -36.7 eV/cell. For the total magnetic moment, the calculation gives 0.024 μB per formula unit. The offset from the most stable computed form comes out at 0.0000 eV per atom.

The structure belongs to space group P6/mmm (No. 191); the cell edges are 3.1159, 3.1159 and 7.3130 Å and the angles 90.00°, 90.00° and 120.00°. The distinct sites, in fractional coordinates, are Gd at (0.0000, 0.0000, 0.0000), Al at (0.0000, 0.0000, 0.5000) and B at (0.3333, 0.6667, 0.2838).

***

Record 2
Material: LiNdZnS3
Method: DFT, PBE
State: optimized geometry

For the final energy, the calculation gives -113.3 eV/cell. For the total magnetic moment, the calculation gives 0.001 μB per formula unit. The offset from the most stable computed form comes out at 0.0608 eV per atom.

The structure belongs to space group Cmcm (No. 63); the cell edges are 3.923, 12.209 and 10.975 Å and the angles 90.00°, 90.00° and 90.00°. The distinct sites, in fractional coordinates, are Li at (0.000, 0.234, 0.250), Nd at (0.000, 0.000, 0.000), Zn at (0.000, 0.473, 0.750), S at (0.000, 0.088, 0.750) and S at (0.000, 0.355, 0.585).

***

Record 3
Material: ZrNb3Al2C2
Method: DFT, PBE
State: optimized geometry

For the final energy, the calculation gives -69.1 eV/cell. For the total magnetic moment, the calculation gives 0.004 μB per formula unit.

The structure belongs to space group P3m1 (No. 156); the cell edges are 3.1682, 3.1682 and 14.1304 Å and the angles 90.00°, 90.00° and 120.00°. The distinct sites, in fractional coordinates, are Zr at (0.0000, 0.0000, 0.0000), Nb at (0.0000, 0.0000, 0.3280), Nb at (0.6667, 0.3333, 0.5014), Nb at (0.6667, 0.3333, 0.8175), Al at (0.0000, 0.0000, 0.6591), Al at (0.6667, 0.3333, 0.1699), C at (0.3333, 0.6667, 0.4144) and C at (0.3333, 0.6667, 0.9041).